First-principles (GGA-PBE) data for a relaxed structure of BaGe6, as listed in Alexandria via LeMat-Bulk.

Unit cell a=5.987 b=5.987 c=12.587 alpha=90.00 beta=90.00 gamma=132.49
Fractional positions:
Ba 0.227 0.773 0.750
Ba 0.773 0.227 0.250
Ge 0.058 0.942 0.147
Ge 0.058 0.942 0.353
Ge 0.254 0.746 0.037
Ge 0.254 0.746 0.463
Ge 0.479 0.521 0.100
Ge 0.479 0.521 0.400
Ge 0.521 0.479 0.600
Ge 0.521 0.479 0.900
Ge 0.746 0.254 0.537
Ge 0.746 0.254 0.963
Ge 0.942 0.058 0.647
Ge 0.942 0.058 0.853

Output
DFT total energy in eV/cell: -61.7
ΔH_f (0 K) in eV per atom: -0.17
DOS(E_F) in states/eV per cell: 5.042
ΔE to the lowest computed polymorph in meV per atom: 0



First-principles (GGA-PBE) data for a relaxed structure of BaGe4, as listed in Alexandria via LeMat-Bulk.

Unit cell a=5.763 b=5.763 c=5.763 alpha=90.00 beta=90.00 gamma=90.00
Fractional positions:
Ba 0.000 0.000 0.000
Ge 0.000 0.000 0.500
Ge 0.000 0.500 0.000
Ge 0.500 0.000 0.000
Ge 0.500 0.500 0.500

Output
DFT total energy in eV/cell: -13.2
ΔH_f (0 K) in eV per atom: 1.44
DOS(E_F) in states/eV per cell: 3.542



First-principles (GGA-PBE) data for a relaxed structure of Ba5Ge3, as listed in Alexandria via LeMat-Bulk.

Unit cell a=8.610 b=8.610 c=16.755 alpha=90.00 beta=90.00 gamma=90.00
Fractional positions:
Ba 0.054 0.584 0.109
Ba 0.054 0.916 0.609
Ba 0.084 0.554 0.391
Ba 0.084 0.946 0.891
Ba 0.250 0.250 0.218
Ba 0.250 0.250 0.718
Ba 0.416 0.554 0.891
Ba 0.416 0.946 0.391
Ba 0.446 0.584 0.609
Ba 0.446 0.916 0.109
Ba 0.554 0.084 0.891
Ba 0.554 0.416 0.391
Ba 0.584 0.054 0.609
Ba 0.584 0.446 0.109
Ba 0.750 0.750 0.282
Ba 0.750 0.750 0.782
Ba 0.916 0.054 0.109
Ba 0.916 0.446 0.609
Ba 0.946 0.084 0.391
Ba 0.946 0.416 0.891
Ge 0.142 0.642 0.750
Ge 0.142 0.858 0.250
Ge 0.250 0.250 0.009
Ge 0.250 0.250 0.509
Ge 0.358 0.642 0.250
Ge 0.358 0.858 0.750
Ge 0.642 0.142 0.250
Ge 0.642 0.358 0.750
Ge 0.750 0.750 0.491
Ge 0.750 0.750 0.991
Ge 0.858 0.142 0.750
Ge 0.858 0.358 0.250

Output
DFT total energy in eV/cell: -110.1
ΔH_f (0 K) in eV per atom: -0.51
DOS(E_F) in states/eV per cell: 13.220



First-principles (GGA-PBE) data for a relaxed structure of BaGe2, as listed in Alexandria via LeMat-Bulk.

Unit cell a=9.241 b=6.874 c=11.703 alpha=90.00 beta=90.00 gamma=90.00
Fractional positions:
Ba 0.015 0.250 0.191
Ba 0.153 0.750 0.407
Ba 0.347 0.250 0.907
Ba 0.485 0.750 0.691
Ba 0.515 0.250 0.309
Ba 0.653 0.750 0.093
Ba 0.847 0.250 0.593
Ba 0.985 0.750 0.809
Ge 0.076 0.750 0.093
Ge 0.192 0.063 0.650
Ge 0.192 0.437 0.650
Ge 0.196 0.250 0.459
Ge 0.304 0.750 0.959
Ge 0.308 0.563 0.150
Ge 0.308 0.937 0.150
Ge 0.424 0.250 0.593
Ge 0.576 0.750 0.407
Ge 0.692 0.063 0.850
Ge 0.692 0.437 0.850
Ge 0.696 0.250 0.041
Ge 0.804 0.750 0.541
Ge 0.808 0.563 0.350
Ge 0.808 0.937 0.350
Ge 0.924 0.250 0.907

Output
DFT total energy in eV/cell: -102.0
ΔH_f (0 K) in eV per atom: -0.53



First-principles (GGA-PBE) data for a relaxed structure of BaGe, as listed in Alexandria via LeMat-Bulk.

Unit cell a=6.892 b=6.892 c=6.892 alpha=90.00 beta=90.00 gamma=90.00
Fractional positions:
Ba 0.000 0.000 0.000
Ba 0.000 0.500 0.500
Ba 0.500 0.000 0.500
Ba 0.500 0.500 0.000
Ge 0.000 0.000 0.500
Ge 0.000 0.500 0.000
Ge 0.500 0.000 0.000
Ge 0.500 0.500 0.500

Output
DFT total energy in eV/cell: -26.4
ΔH_f (0 K) in eV per atom: -0.03
DOS(E_F) in states/eV per cell: 11.665



First-principles (GGA-PBE) data for a relaxed structure of BaGe, as listed in Alexandria via LeMat-Bulk.

Unit cell a=9.368 b=9.368 c=9.368 alpha=90.00 beta=90.00 gamma=90.00
Fractional positions:
Ba 0.000 0.250 0.500
Ba 0.000 0.750 0.500
Ba 0.250 0.500 0.000
Ba 0.500 0.000 0.250
Ba 0.500 0.000 0.750
Ba 0.750 0.500 0.000
Ge 0.000 0.500 0.250
Ge 0.000 0.500 0.750
Ge 0.250 0.000 0.500
Ge 0.500 0.250 0.000
Ge 0.500 0.750 0.000
Ge 0.750 0.000 0.500

Output
DFT total energy in eV/cell: -35.2
ΔH_f (0 K) in eV per atom: 0.34
DOS(E_F) in states/eV per cell: 7.644



First-principles (GGA-PBE) data for a relaxed structure of BaGe2, as listed in Alexandria via LeMat-Bulk.

Unit cell a=4.821 b=4.821 c=14.890 alpha=90.00 beta=90.00 gamma=90.00
Fractional positions:
Ba 0.000 0.250 0.375
Ba 0.000 0.750 0.625
Ba 0.500 0.250 0.125
Ba 0.500 0.750 0.875
Ge 0.000 0.250 0.792
Ge 0.000 0.250 0.958
Ge 0.000 0.750 0.042
Ge 0.000 0.750 0.208
Ge 0.500 0.250 0.542
Ge 0.500 0.250 0.708
Ge 0.500 0.750 0.292
Ge 0.500 0.750 0.458

Output
DFT total energy in eV/cell: -50.7
ΔH_f (0 K) in eV per atom: -0.51
DOS(E_F) in states/eV per cell: 4.579



First-principles (GGA-PBE) data for a relaxed structure of BaGe, as listed in Alexandria via LeMat-Bulk.

Unit cell a=5.808 b=5.808 c=6.831 alpha=90.00 beta=90.00 gamma=120.00
Fractional positions:
Ba 0.333 0.667 0.250
Ba 0.667 0.333 0.750
Ge 0.333 0.667 0.750
Ge 0.667 0.333 0.250

Output
DFT total energy in eV/cell: -12.5
ΔH_f (0 K) in eV per atom: 0.14
DOS(E_F) in states/eV per cell: 3.501



First-principles (GGA-PBE) data for a relaxed structure of Ba3Ge, as listed in Alexandria via LeMat-Bulk.

Unit cell a=4.616 b=12.131 c=7.669 alpha=90.00 beta=90.00 gamma=90.00
Fractional positions:
Ba 0.000 0.000 0.000
Ba 0.000 0.170 0.456
Ba 0.000 0.830 0.456
Ba 0.500 0.330 0.956
Ba 0.500 0.500 0.500
Ba 0.500 0.670 0.956
Ge 0.000 0.500 0.802
Ge 0.500 0.000 0.302

Output
DFT total energy in eV/cell: -22.7
ΔH_f (0 K) in eV per atom: -0.24
DOS(E_F) in states/eV per cell: 5.986
ΔE to the lowest computed polymorph in meV per atom: 0



First-principles (GGA-PBE) data for a relaxed structure of Ba3Ge, as listed in Alexandria via LeMat-Bulk.

Unit cell a=4.266 b=4.572 c=11.052 alpha=90.00 beta=90.00 gamma=90.00
Fractional positions:
Ba 0.000 0.000 0.000
Ba 0.000 0.500 0.347
Ba 0.500 0.500 0.679
Ge 0.500 0.000 0.463

Output
DFT total energy in eV/cell: -10.7
ΔH_f (0 K) in eV per atom: -0.07
DOS(E_F) in states/eV per cell: 5.127
ΔE to the lowest computed polymorph in meV per atom: 168



First-principles (GGA-PBE) data for a relaxed structure of BaGe, as listed in Alexandria via LeMat-Bulk.

Unit cell a=4.737 b=4.737 c=24.424 alpha=90.00 beta=90.00 gamma=90.00
Fractional positions:
Ba 0.000 0.250 0.068
Ba 0.000 0.250 0.682
Ba 0.000 0.750 0.318
Ba 0.000 0.750 0.932
Ba 0.500 0.250 0.432
Ba 0.500 0.250 0.818
Ba 0.500 0.750 0.182
Ba 0.500 0.750 0.568
Ge 0.000 0.250 0.219
Ge 0.000 0.250 0.531
Ge 0.000 0.750 0.469
Ge 0.000 0.750 0.781
Ge 0.500 0.250 0.281
Ge 0.500 0.250 0.969
Ge 0.500 0.750 0.031
Ge 0.500 0.750 0.719

Output
DFT total energy in eV/cell: -61.2
ΔH_f (0 K) in eV per atom: -0.55
DOS(E_F) in states/eV per cell: 2.903



First-principles (GGA-PBE) data for a relaxed structure of BaGe, as listed in Alexandria via LeMat-Bulk.

Unit cell a=9.715 b=9.715 c=9.715 alpha=90.00 beta=90.00 gamma=90.00
Fractional positions:
Ba 0.210 0.210 0.790
Ba 0.210 0.790 0.210
Ba 0.290 0.290 0.290
Ba 0.290 0.710 0.710
Ba 0.710 0.290 0.710
Ba 0.710 0.710 0.290
Ba 0.790 0.210 0.210
Ba 0.790 0.790 0.790
Ge 0.095 0.095 0.095
Ge 0.095 0.905 0.905
Ge 0.405 0.405 0.595
Ge 0.405 0.595 0.405
Ge 0.595 0.405 0.405
Ge 0.595 0.595 0.595
Ge 0.905 0.095 0.905
Ge 0.905 0.905 0.095

Output
DFT total energy in eV/cell: -54.9
ΔH_f (0 K) in eV per atom: -0.16
DOS(E_F) in states/eV per cell: 22.368



First-principles (GGA-PBE) data for a relaxed structure of BaGe, as listed in Alexandria via LeMat-Bulk.

Unit cell a=12.325 b=12.325 c=4.263 alpha=90.00 beta=90.00 gamma=90.00
Fractional positions:
Ba 0.000 0.267 0.000
Ba 0.000 0.733 0.000
Ba 0.233 0.500 0.500
Ba 0.267 0.000 0.000
Ba 0.500 0.233 0.500
Ba 0.500 0.767 0.500
Ba 0.733 0.000 0.000
Ba 0.767 0.500 0.500
Ge 0.207 0.207 0.500
Ge 0.207 0.793 0.500
Ge 0.293 0.293 0.000
Ge 0.293 0.707 0.000
Ge 0.707 0.293 0.000
Ge 0.707 0.707 0.000
Ge 0.793 0.207 0.500
Ge 0.793 0.793 0.500

Output
DFT total energy in eV/cell: -59.4
ΔH_f (0 K) in eV per atom: -0.44
DOS(E_F) in states/eV per cell: 14.470



First-principles (GGA-PBE) data for a relaxed structure of BaGe2, as listed in Alexandria via LeMat-Bulk.

Unit cell a=3.683 b=3.683 c=11.784 alpha=90.00 beta=90.00 gamma=90.00
Fractional positions:
Ba 0.000 0.000 0.000
Ba 0.500 0.500 0.500
Ge 0.000 0.000 0.293
Ge 0.000 0.000 0.707
Ge 0.500 0.500 0.207
Ge 0.500 0.500 0.793

Output
DFT total energy in eV/cell: -24.0
ΔH_f (0 K) in eV per atom: -0.28
DOS(E_F) in states/eV per cell: 1.653



First-principles (GGA-PBE) data for a relaxed structure of Ba2Ge, as listed in Alexandria via LeMat-Bulk.

Unit cell a=8.575 b=5.451 c=10.252 alpha=90.00 beta=90.00 gamma=90.00
Fractional positions:
Ba 0.021 0.250 0.170
Ba 0.145 0.250 0.583
Ba 0.355 0.750 0.083
Ba 0.479 0.750 0.670
Ba 0.521 0.250 0.330
Ba 0.645 0.250 0.917
Ba 0.855 0.750 0.417
Ba 0.979 0.750 0.830
Ge 0.249 0.250 0.898
Ge 0.251 0.750 0.398
Ge 0.749 0.250 0.602
Ge 0.751 0.750 0.102

Output
DFT total energy in eV/cell: -39.8
ΔH_f (0 K) in eV per atom: -0.49
DOS(E_F) in states/eV per cell: 0.306



First-principles (GGA-PBE) data for a relaxed structure of BaGe3, as listed in Alexandria via LeMat-Bulk.

Unit cell a=6.831 b=6.831 c=5.296 alpha=90.00 beta=90.00 gamma=120.00
Fractional positions:
Ba 0.333 0.667 0.250
Ba 0.667 0.333 0.750
Ge 0.126 0.253 0.750
Ge 0.126 0.874 0.750
Ge 0.253 0.126 0.250
Ge 0.747 0.874 0.750
Ge 0.874 0.126 0.250
Ge 0.874 0.747 0.250

Output
DFT total energy in eV/cell: -34.4
ΔH_f (0 K) in eV per atom: -0.36
DOS(E_F) in states/eV per cell: 3.329



First-principles (GGA-PBE) data for a relaxed structure of Ba5Ge4, as listed in Alexandria via LeMat-Bulk.

Unit cell a=6.601 b=6.601 c=11.202 alpha=110.79 beta=110.79 gamma=45.63
Fractional positions:
Ba 0.000 0.000 0.000
Ba 0.103 0.103 0.399
Ba 0.241 0.241 0.821
Ba 0.759 0.759 0.179
Ba 0.897 0.897 0.601
Ge 0.401 0.401 0.390
Ge 0.451 0.451 0.180
Ge 0.549 0.549 0.820
Ge 0.599 0.599 0.610

Output
DFT total energy in eV/cell: -32.9
ΔH_f (0 K) in eV per atom: -0.53
DOS(E_F) in states/eV per cell: 2.705



First-principles (GGA-PBE) data for a relaxed structure of BaGe, as listed in Alexandria via LeMat-Bulk.

Unit cell a=12.277 b=5.591 c=6.444 alpha=90.00 beta=90.00 gamma=90.00
Fractional positions:
Ba 0.000 0.246 0.000
Ba 0.220 0.752 0.219
Ba 0.280 0.248 0.719
Ba 0.500 0.754 0.500
Ba 0.720 0.248 0.719
Ba 0.780 0.752 0.219
Ge 0.000 0.548 0.470
Ge 0.113 0.728 0.760
Ge 0.387 0.272 0.260
Ge 0.500 0.452 0.970
Ge 0.613 0.272 0.260
Ge 0.887 0.728 0.760

Output
DFT total energy in eV/cell: -44.0
ΔH_f (0 K) in eV per atom: -0.40
DOS(E_F) in states/eV per cell: 4.632



First-principles (GGA-PBE) data for a relaxed structure of BaGe, as listed in Alexandria via LeMat-Bulk.

Unit cell a=11.672 b=11.672 c=4.705 alpha=90.00 beta=90.00 gamma=90.00
Fractional positions:
Ba 0.016 0.228 0.000
Ba 0.228 0.984 0.000
Ba 0.270 0.648 0.500
Ba 0.352 0.270 0.500
Ba 0.648 0.730 0.500
Ba 0.730 0.352 0.500
Ba 0.772 0.016 0.000
Ba 0.984 0.772 0.000
Ge 0.068 0.410 0.500
Ge 0.113 0.508 0.000
Ge 0.410 0.932 0.500
Ge 0.492 0.113 0.000
Ge 0.508 0.887 0.000
Ge 0.590 0.068 0.500
Ge 0.887 0.492 0.000
Ge 0.932 0.590 0.500

Output
DFT total energy in eV/cell: -55.9
ΔH_f (0 K) in eV per atom: -0.22
DOS(E_F) in states/eV per cell: 12.537



First-principles (GGA-PBE) data for a relaxed structure of BaGe6, as listed in Alexandria via LeMat-Bulk.

Unit cell a=7.163 b=7.163 c=7.163 alpha=90.00 beta=90.00 gamma=90.00
Fractional positions:
Ba 0.000 0.000 0.000
Ba 0.500 0.500 0.500
Ge 0.000 0.250 0.500
Ge 0.000 0.500 0.250
Ge 0.000 0.500 0.750
Ge 0.000 0.750 0.500
Ge 0.250 0.000 0.500
Ge 0.250 0.500 0.000
Ge 0.500 0.000 0.250
Ge 0.500 0.000 0.750
Ge 0.500 0.250 0.000
Ge 0.500 0.750 0.000
Ge 0.750 0.000 0.500
Ge 0.750 0.500 0.000

Output
DFT total energy in eV/cell: -60.7
ΔH_f (0 K) in eV per atom: -0.11
DOS(E_F) in states/eV per cell: 6.518
ΔE to the lowest computed polymorph in meV per atom: 66



First-principles (GGA-PBE) data for a relaxed structure of BaGe, as listed in Alexandria via LeMat-Bulk.

Unit cell a=6.845 b=6.845 c=6.592 alpha=90.00 beta=90.00 gamma=90.00
Fractional positions:
Ba 0.187 0.187 0.000
Ba 0.313 0.687 0.500
Ba 0.687 0.313 0.500
Ba 0.813 0.813 0.000
Ge 0.127 0.127 0.500
Ge 0.373 0.627 0.000
Ge 0.627 0.373 0.000
Ge 0.873 0.873 0.500

Output
DFT total energy in eV/cell: -29.0
ΔH_f (0 K) in eV per atom: -0.35
DOS(E_F) in states/eV per cell: 8.016



Calculated magnetic moment in order - 0.0000, 0.0000, 0.0151, 0.0000, 0.8310, 1.0118, 0.0000, 0.9464, 0.0000, 0.0384, 0.0000, 0.0000, 0.1472, 0.0000, 0.0000, 0.0000, 0.0000, 0.0000, 0.0315, 0.0000, 0.0000 μB/atom